Material: Dy3NiHg2
Method: DFT, PBE
State: optimized geometry

extended XYZ file:
```
12
Lattice="7.3389 -2.9331 0.0000 7.3389 2.9331 0.0000 -1.9472 0.0000 7.3125" Properties=species:S:1:pos:R:3 pbc="T T T"
Dy 5.8784 2.9255 5.4844
Dy 3.6131 0.0046 6.8454
Dy 4.5867 -0.0046 3.1892
Dy 8.1438 0.0046 4.1233
Dy 9.1174 -0.0046 0.4671
Dy 6.8521 -2.9255 1.8281
Ni 6.8521 0.0046 1.8281
Ni 5.8784 -0.0046 5.4844
Hg 1.6244 0.0048 4.3607
Hg 2.5980 -0.0048 0.7045
Hg 10.1325 0.0048 6.6080
Hg 11.1061 -0.0048 2.9518
```

Calculated values
Mass density: 10.0 g cm⁻³
ΔH_f (0 K): -322 meV/atom


Material: BeAs2Se
Method: DFT, PBE
State: optimized geometry

extended XYZ file:
```
8
Lattice="5.2778 0.0000 0.0000 0.0000 5.2778 0.0000 0.0000 0.0000 5.2231" Properties=species:S:1:pos:R:3 pbc="T T T"
Be 0.0000 0.0000 0.0000
Be 2.6389 2.6389 2.6116
As 0.0000 2.6389 0.0000
As 0.0000 2.6389 2.6116
As 2.6389 0.0000 0.0000
As 2.6389 0.0000 2.6116
Se 0.0000 0.0000 2.6116
Se 2.6389 2.6389 0.0000
```

Calculated values
Mass density: 5.4 g cm⁻³
Polymorph energy (0 for the lowest one): 44.4 kJ/mol of atoms
Formation energy from raw total energies: 171 meV/atom